A geometry-optimized Pr2Zn2Co2C structure. Source: Alexandria, functional PBE-GGA.

Cell: 4.1449 5.9060 5.9453 Å, 75.56 69.60 69.46°
Closest atoms and distances in Å follow each position.
Atoms (fractional coordinates):
Pr: 0.5532 0.1807 0.7129  2 C 2.72
Pr: 0.4468 0.8193 0.2871  2 C 2.72
Zn: 0.1634 0.3930 0.2802  3 Co 2.44-2.48
Zn: 0.8366 0.6070 0.7198  3 Co 2.44-2.48
Co: 0.1901 0.7066 0.9132  1 C 1.76
Co: 0.8099 0.2934 0.0868  1 C 1.76
C: 0.0000 0.0000 0.0000  2 Co 1.76

Results
The volume is 126.39 Å³ per cell. For the density of states at the Fermi level, the calculation gives 5.01 states/eV per cell. As for the density: 7.13 g/cm³. For the uncorrected energy, the calculation gives -5.29 eV per atom. For the formation energy, the calculation gives -0.213 eV/atom.